# Sc2MnB10 (PBE, relaxed)
# SG: Pbam
# DFT formation energy: -0.303 eV per atom
data_Sc2MnB10
_cell_length_a 5.571
_cell_length_b 11.063
_cell_length_c 4.130
_cell_angle_alpha 90.00
_cell_angle_beta 90.00
_cell_angle_gamma 90.00
_space_group_name_H-M_alt 'P 1'
_space_group_IT_number 1
loop_
_space_group_symop_operation_xyz
'x,y,z'
loop_
_atom_site_label
_atom_site_type_symbol
_atom_site_fract_x
_atom_site_fract_y
_atom_site_fract_z
_atom_site_occupancy
Sc1 Sc 0.244 0.113 0.000 1
Sc2 Sc 0.256 0.613 0.000 1
Sc3 Sc 0.744 0.387 0.000 1
Sc4 Sc 0.756 0.887 0.000 1
Mn1 Mn 0.000 0.000 0.500 1
Mn2 Mn 0.500 0.500 0.500 1
B1 B 0.030 0.814 0.500 1
B2 B 0.127 0.461 0.500 1
B3 B 0.157 0.301 0.500 1
B4 B 0.207 0.885 0.200 1
B5 B 0.207 0.885 0.800 1
B6 B 0.293 0.385 0.200 1
B7 B 0.293 0.385 0.800 1
B8 B 0.343 0.801 0.500 1
B9 B 0.373 0.961 0.500 1
B10 B 0.470 0.314 0.500 1
B11 B 0.530 0.686 0.500 1
B12 B 0.627 0.039 0.500 1
B13 B 0.657 0.199 0.500 1
B14 B 0.707 0.615 0.200 1
B15 B 0.707 0.615 0.800 1
B16 B 0.793 0.115 0.200 1
B17 B 0.793 0.115 0.800 1
B18 B 0.843 0.699 0.500 1
B19 B 0.873 0.539 0.500 1
B20 B 0.970 0.186 0.500 1

=====

# Pm5TmTh2 (PBE, relaxed)
# SG: Immm
# DFT formation energy: 0.105 eV per atom
data_Pm5TmTh2
_cell_length_a 8.945
_cell_length_b 8.945
_cell_length_c 8.945
_cell_angle_alpha 157.17
_cell_angle_beta 101.15
_cell_angle_gamma 83.39
_space_group_name_H-M_alt 'P 1'
_space_group_IT_number 1
loop_
_space_group_symop_operation_xyz
'x,y,z'
loop_
_atom_site_label
_atom_site_type_symbol
_atom_site_fract_x
_atom_site_fract_y
_atom_site_fract_z
_atom_site_occupancy
Pm1 Pm 0.000 0.000 0.000 1
Pm2 Pm 0.110 0.370 0.739 1
Pm3 Pm 0.369 0.630 0.739 1
Pm4 Pm 0.631 0.370 0.261 1
Pm5 Pm 0.890 0.630 0.261 1
Tm1 Tm 0.500 0.000 0.500 1
Th1 Th 0.259 0.259 0.000 1
Th2 Th 0.741 0.741 0.000 1

=====

# CdTcRu3 (PBE, relaxed)
# SG: Pm-3m
# DFT formation energy: 1.405 eV per atom
# energy above the lowest structure with this stoichiometry: 0.0 meV/atom
data_CdTcRu3
_cell_length_a 4.650
_cell_length_b 4.650
_cell_length_c 4.650
_cell_angle_alpha 90.00
_cell_angle_beta 90.00
_cell_angle_gamma 90.00
_space_group_name_H-M_alt 'P 1'
_space_group_IT_number 1
loop_
_space_group_symop_operation_xyz
'x,y,z'
loop_
_atom_site_label
_atom_site_type_symbol
_atom_site_fract_x
_atom_site_fract_y
_atom_site_fract_z
_atom_site_occupancy
Cd1 Cd 0.000 0.000 0.000 1
Tc1 Tc 0.500 0.500 0.500 1
Ru1 Ru 0.000 0.500 0.500 1
Ru2 Ru 0.500 0.000 0.500 1
Ru3 Ru 0.500 0.500 0.000 1

=====

# Nd2DyY3S6 (PBE, relaxed)
# SG: C2/m
# energy relative to the elements, uncorrected: -2005 meV per atom
data_Nd2DyY3S6
_cell_length_a 8.867
_cell_length_b 8.867
_cell_length_c 7.986
_cell_angle_alpha 103.26
_cell_angle_beta 103.26
_cell_angle_gamma 25.73
_space_group_name_H-M_alt 'P 1'
_space_group_IT_number 1
loop_
_space_group_symop_operation_xyz
'x,y,z'
loop_
_atom_site_label
_atom_site_type_symbol
_atom_site_fract_x
_atom_site_fract_y
_atom_site_fract_z
_atom_site_occupancy
Nd1 Nd 0.168 0.168 0.335 1
Nd2 Nd 0.832 0.832 0.665 1
Dy1 Dy 0.500 0.500 0.000 1
Y1 Y 0.169 0.169 0.833 1
Y2 Y 0.500 0.500 0.500 1
Y3 Y 0.831 0.831 0.167 1
S1 S 0.004 0.004 0.753 1
S2 S 0.335 0.335 0.927 1
S3 S 0.337 0.337 0.409 1
S4 S 0.663 0.663 0.591 1
S5 S 0.665 0.665 0.073 1
S6 S 0.996 0.996 0.247 1

=====

# Tm2BeGa8 (PBE, relaxed)
# SG: P4/mmm
# DFT formation energy: -0.340 eV per atom
data_Tm2BeGa8
_cell_length_a 4.293
_cell_length_b 4.293
_cell_length_c 10.852
_cell_angle_alpha 90.00
_cell_angle_beta 90.00
_cell_angle_gamma 90.00
_space_group_name_H-M_alt 'P 1'
_space_group_IT_number 1
loop_
_space_group_symop_operation_xyz
'x,y,z'
loop_
_atom_site_label
_atom_site_type_symbol
_atom_site_fract_x
_atom_site_fract_y
_atom_site_fract_z
_atom_site_occupancy
Tm1 Tm 0.000 0.000 0.195 1
Tm2 Tm 0.000 0.000 0.805 1
Be1 Be 0.000 0.000 0.500 1
Ga1 Ga 0.000 0.500 0.000 1
Ga2 Ga 0.000 0.500 0.380 1
Ga3 Ga 0.000 0.500 0.620 1
Ga4 Ga 0.500 0.000 0.000 1
Ga5 Ga 0.500 0.000 0.380 1
Ga6 Ga 0.500 0.000 0.620 1
Ga7 Ga 0.500 0.500 0.198 1
Ga8 Ga 0.500 0.500 0.802 1

=====

# ErAl4Pt2 (PBE, relaxed)
# SG: Pnma
# DFT formation energy: -0.974 eV per atom
data_ErAl4Pt2
_cell_length_a 17.190
_cell_length_b 4.261
_cell_length_c 6.650
_cell_angle_alpha 90.00
_cell_angle_beta 90.00
_cell_angle_gamma 90.00
_space_group_name_H-M_alt 'P 1'
_space_group_IT_number 1
loop_
_space_group_symop_operation_xyz
'x,y,z'
loop_
_atom_site_label
_atom_site_type_symbol
_atom_site_fract_x
_atom_site_fract_y
_atom_site_fract_z
_atom_site_occupancy
Er1 Er 0.140 0.250 0.019 1
Er2 Er 0.360 0.750 0.519 1
Er3 Er 0.640 0.250 0.481 1
Er4 Er 0.860 0.750 0.981 1
Al1 Al 0.035 0.750 0.848 1
Al2 Al 0.069 0.250 0.490 1
Al3 Al 0.186 0.750 0.328 1
Al4 Al 0.193 0.750 0.735 1
Al5 Al 0.307 0.250 0.235 1
Al6 Al 0.314 0.250 0.828 1
Al7 Al 0.431 0.750 0.990 1
Al8 Al 0.465 0.250 0.348 1
Al9 Al 0.535 0.750 0.652 1
Al10 Al 0.569 0.250 0.010 1
Al11 Al 0.686 0.750 0.172 1
Al12 Al 0.693 0.750 0.765 1
Al13 Al 0.807 0.250 0.265 1
Al14 Al 0.814 0.250 0.672 1
Al15 Al 0.931 0.750 0.510 1
Al16 Al 0.965 0.250 0.152 1
Pt1 Pt 0.039 0.750 0.244 1
Pt2 Pt 0.215 0.250 0.534 1
Pt3 Pt 0.285 0.750 0.034 1
Pt4 Pt 0.461 0.250 0.744 1
Pt5 Pt 0.539 0.750 0.256 1
Pt6 Pt 0.715 0.250 0.966 1
Pt7 Pt 0.785 0.750 0.466 1
Pt8 Pt 0.961 0.250 0.756 1

=====

# CsKIn3 (PBE, relaxed)
# SG: Pm-3m
# DFT formation energy: 0.683 eV per atom
# energy above the lowest structure with this stoichiometry: 201.1 meV/atom
data_CsKIn3
_cell_length_a 6.616
_cell_length_b 6.616
_cell_length_c 6.616
_cell_angle_alpha 90.00
_cell_angle_beta 90.00
_cell_angle_gamma 90.00
_space_group_name_H-M_alt 'P 1'
_space_group_IT_number 1
loop_
_space_group_symop_operation_xyz
'x,y,z'
loop_
_atom_site_label
_atom_site_type_symbol
_atom_site_fract_x
_atom_site_fract_y
_atom_site_fract_z
_atom_site_occupancy
Cs1 Cs 0.000 0.000 0.000 1
K1 K 0.500 0.500 0.500 1
In1 In 0.000 0.000 0.500 1
In2 In 0.000 0.500 0.000 1
In3 In 0.500 0.000 0.000 1

=====

# RbBiTe2 (PBE, relaxed)
# SG: I-42d
# energy relative to the elements, uncorrected: -474 meV per atom
data_RbBiTe2
_cell_length_a 8.117
_cell_length_b 8.117
_cell_length_c 8.117
_cell_angle_alpha 115.33
_cell_angle_beta 115.33
_cell_angle_gamma 98.30
_space_group_name_H-M_alt 'P 1'
_space_group_IT_number 1
loop_
_space_group_symop_operation_xyz
'x,y,z'
loop_
_atom_site_label
_atom_site_type_symbol
_atom_site_fract_x
_atom_site_fract_y
_atom_site_fract_z
_atom_site_occupancy
Rb1 Rb 0.000 0.000 0.000 1
Rb2 Rb 0.750 0.250 0.500 1
Bi1 Bi 0.250 0.750 0.500 1
Bi2 Bi 0.500 0.500 0.000 1
Te1 Te 0.185 0.625 0.060 1
Te2 Te 0.375 0.435 0.560 1
Te3 Te 0.565 0.125 0.940 1
Te4 Te 0.875 0.815 0.440 1

=====

# Ho4MgGe4 (PBE, relaxed)
# SG: Pnma
# DFT formation energy: -0.808 eV per atom
data_Ho4MgGe4
_cell_length_a 7.162
_cell_length_b 14.623
_cell_length_c 7.719
_cell_angle_alpha 90.00
_cell_angle_beta 90.00
_cell_angle_gamma 90.00
_space_group_name_H-M_alt 'P 1'
_space_group_IT_number 1
loop_
_space_group_symop_operation_xyz
'x,y,z'
loop_
_atom_site_label
_atom_site_type_symbol
_atom_site_fract_x
_atom_site_fract_y
_atom_site_fract_z
_atom_site_occupancy
Ho1 Ho 0.010 0.094 0.183 1
Ho2 Ho 0.010 0.406 0.183 1
Ho3 Ho 0.169 0.127 0.677 1
Ho4 Ho 0.169 0.373 0.677 1
Ho5 Ho 0.331 0.627 0.177 1
Ho6 Ho 0.331 0.873 0.177 1
Ho7 Ho 0.490 0.594 0.683 1
Ho8 Ho 0.490 0.906 0.683 1
Ho9 Ho 0.510 0.094 0.317 1
Ho10 Ho 0.510 0.406 0.317 1
Ho11 Ho 0.669 0.127 0.823 1
Ho12 Ho 0.669 0.373 0.823 1
Ho13 Ho 0.831 0.627 0.323 1
Ho14 Ho 0.831 0.873 0.323 1
Ho15 Ho 0.990 0.594 0.817 1
Ho16 Ho 0.990 0.906 0.817 1
Mg1 Mg 0.162 0.750 0.519 1
Mg2 Mg 0.338 0.250 0.019 1
Mg3 Mg 0.662 0.750 0.981 1
Mg4 Mg 0.838 0.250 0.481 1
Ge1 Ge 0.024 0.750 0.088 1
Ge2 Ge 0.172 0.536 0.466 1
Ge3 Ge 0.172 0.964 0.466 1
Ge4 Ge 0.211 0.250 0.361 1
Ge5 Ge 0.289 0.750 0.861 1
Ge6 Ge 0.328 0.036 0.966 1
Ge7 Ge 0.328 0.464 0.966 1
Ge8 Ge 0.476 0.250 0.588 1
Ge9 Ge 0.524 0.750 0.412 1
Ge10 Ge 0.672 0.536 0.034 1
Ge11 Ge 0.672 0.964 0.034 1
Ge12 Ge 0.711 0.250 0.139 1
Ge13 Ge 0.789 0.750 0.639 1
Ge14 Ge 0.828 0.036 0.534 1
Ge15 Ge 0.828 0.464 0.534 1
Ge16 Ge 0.976 0.250 0.912 1

=====

# HfAl2Si (PBE, relaxed)
# SG: P4/mmm
# energy relative to the elements, uncorrected: -279 meV per atom
data_HfAl2Si
_cell_length_a 3.989
_cell_length_b 3.989
_cell_length_c 4.149
_cell_angle_alpha 90.00
_cell_angle_beta 90.00
_cell_angle_gamma 90.00
_space_group_name_H-M_alt 'P 1'
_space_group_IT_number 1
loop_
_space_group_symop_operation_xyz
'x,y,z'
loop_
_atom_site_label
_atom_site_type_symbol
_atom_site_fract_x
_atom_site_fract_y
_atom_site_fract_z
_atom_site_occupancy
Hf1 Hf 0.000 0.000 0.000 1
Al1 Al 0.000 0.500 0.500 1
Al2 Al 0.500 0.000 0.500 1
Si1 Si 0.500 0.500 0.000 1

=====

# La2SmSn3Ir4 (PBE, relaxed)
# SG: P-4m2
# DFT formation energy: -0.630 eV per atom
data_La2SmSn3Ir4
_cell_length_a 4.442
_cell_length_b 4.442
_cell_length_c 11.694
_cell_angle_alpha 90.00
_cell_angle_beta 90.00
_cell_angle_gamma 90.00
_space_group_name_H-M_alt 'P 1'
_space_group_IT_number 1
loop_
_space_group_symop_operation_xyz
'x,y,z'
loop_
_atom_site_label
_atom_site_type_symbol
_atom_site_fract_x
_atom_site_fract_y
_atom_site_fract_z
_atom_site_occupancy
La1 La 0.000 0.500 0.233 1
La2 La 0.500 0.000 0.767 1
Sm1 Sm 0.000 0.000 0.500 1
Sn1 Sn 0.000 0.500 0.876 1
Sn2 Sn 0.500 0.000 0.124 1
Sn3 Sn 0.500 0.500 0.500 1
Ir1 Ir 0.000 0.000 0.000 1
Ir2 Ir 0.000 0.500 0.651 1
Ir3 Ir 0.500 0.000 0.349 1
Ir4 Ir 0.500 0.500 0.000 1

=====

# NbV3Fe2 (PBE, relaxed)
# SG: C2/m
# DFT formation energy: 0.006 eV per atom
data_NbV3Fe2
_cell_length_a 7.003
_cell_length_b 7.003
_cell_length_c 6.406
_cell_angle_alpha 112.00
_cell_angle_beta 112.00
_cell_angle_gamma 33.72
_space_group_name_H-M_alt 'P 1'
_space_group_IT_number 1
loop_
_space_group_symop_operation_xyz
'x,y,z'
loop_
_atom_site_label
_atom_site_type_symbol
_atom_site_fract_x
_atom_site_fract_y
_atom_site_fract_z
_atom_site_occupancy
Nb1 Nb 0.124 0.124 0.197 1
Nb2 Nb 0.876 0.876 0.803 1
V1 V 0.066 0.066 0.711 1
V2 V 0.298 0.298 0.048 1
V3 V 0.388 0.388 0.486 1
V4 V 0.612 0.612 0.514 1
V5 V 0.702 0.702 0.952 1
V6 V 0.934 0.934 0.289 1
Fe1 Fe 0.236 0.236 0.644 1
Fe2 Fe 0.486 0.486 0.159 1
Fe3 Fe 0.514 0.514 0.841 1
Fe4 Fe 0.764 0.764 0.356 1

=====

# Si2P (PBE, relaxed)
# SG: Fm-3m
# energy above the lowest structure with this stoichiometry: 584.9 meV/atom
# energy relative to the elements, uncorrected: 588 meV per atom
data_Si2P
_cell_length_a 4.074
_cell_length_b 4.074
_cell_length_c 4.074
_cell_angle_alpha 60.00
_cell_angle_beta 60.00
_cell_angle_gamma 60.00
_space_group_name_H-M_alt 'P 1'
_space_group_IT_number 1
loop_
_space_group_symop_operation_xyz
'x,y,z'
loop_
_atom_site_label
_atom_site_type_symbol
_atom_site_fract_x
_atom_site_fract_y
_atom_site_fract_z
_atom_site_occupancy
Si1 Si 0.250 0.250 0.250 1
Si2 Si 0.750 0.750 0.750 1
P1 P 0.000 0.000 0.000 1

=====

# CdSi2Hg (PBE, relaxed)
# SG: Imm2
# energy above the lowest structure with this stoichiometry: 175.3 meV/atom
# energy relative to the elements, uncorrected: 389 meV per atom
data_CdSi2Hg
_cell_length_a 6.445
_cell_length_b 6.445
_cell_length_c 6.445
_cell_angle_alpha 147.36
_cell_angle_beta 143.38
_cell_angle_gamma 49.86
_space_group_name_H-M_alt 'P 1'
_space_group_IT_number 1
loop_
_space_group_symop_operation_xyz
'x,y,z'
loop_
_atom_site_label
_atom_site_type_symbol
_atom_site_fract_x
_atom_site_fract_y
_atom_site_fract_z
_atom_site_occupancy
Cd1 Cd 0.000 0.000 0.000 1
Si1 Si 0.579 0.579 0.000 1
Si2 Si 0.712 0.212 0.500 1
Hg1 Hg 0.308 0.808 0.500 1

=====

# ErRhAu (PBE, relaxed)
# SG: C2/m
# DFT formation energy: -0.592 eV per atom
# energy above the lowest structure with this stoichiometry: 124.6 meV/atom
data_ErRhAu
_cell_length_a 5.376
_cell_length_b 5.376
_cell_length_c 6.896
_cell_angle_alpha 96.31
_cell_angle_beta 96.31
_cell_angle_gamma 38.27
_space_group_name_H-M_alt 'P 1'
_space_group_IT_number 1
loop_
_space_group_symop_operation_xyz
'x,y,z'
loop_
_atom_site_label
_atom_site_type_symbol
_atom_site_fract_x
_atom_site_fract_y
_atom_site_fract_z
_atom_site_occupancy
Er1 Er 0.062 0.062 0.233 1
Er2 Er 0.938 0.938 0.767 1
Rh1 Rh 0.358 0.358 0.046 1
Rh2 Rh 0.642 0.642 0.954 1
Au1 Au 0.206 0.206 0.644 1
Au2 Au 0.794 0.794 0.356 1

=====

# MgTlPt2 (PBE, relaxed)
# SG: C2/m
# DFT formation energy: -0.405 eV per atom
data_MgTlPt2
_cell_length_a 4.219
_cell_length_b 4.219
_cell_length_c 3.946
_cell_angle_alpha 90.07
_cell_angle_beta 90.07
_cell_angle_gamma 90.02
_space_group_name_H-M_alt 'P 1'
_space_group_IT_number 1
loop_
_space_group_symop_operation_xyz
'x,y,z'
loop_
_atom_site_label
_atom_site_type_symbol
_atom_site_fract_x
_atom_site_fract_y
_atom_site_fract_z
_atom_site_occupancy
Mg1 Mg 0.000 0.000 0.000 1
Tl1 Tl 0.500 0.500 0.000 1
Pt1 Pt 0.000 0.500 0.500 1
Pt2 Pt 0.500 0.000 0.500 1

=====

# LaDy2PtN4 (PBE, relaxed)
# SG: Cmcm
# energy relative to the elements, uncorrected: -901 meV per atom
data_LaDy2PtN4
_cell_length_a 6.232
_cell_length_b 6.232
_cell_length_c 11.697
_cell_angle_alpha 90.00
_cell_angle_beta 90.00
_cell_angle_gamma 147.94
_space_group_name_H-M_alt 'P 1'
_space_group_IT_number 1
loop_
_space_group_symop_operation_xyz
'x,y,z'
loop_
_atom_site_label
_atom_site_type_symbol
_atom_site_fract_x
_atom_site_fract_y
_atom_site_fract_z
_atom_site_occupancy
La1 La 0.112 0.888 0.750 1
La2 La 0.888 0.112 0.250 1
Dy1 Dy 0.371 0.629 0.545 1
Dy2 Dy 0.371 0.629 0.955 1
Dy3 Dy 0.629 0.371 0.045 1
Dy4 Dy 0.629 0.371 0.455 1
Pt1 Pt 0.151 0.849 0.250 1
Pt2 Pt 0.849 0.151 0.750 1
N1 N 0.000 0.000 0.000 1
N2 N 0.000 0.000 0.500 1
N3 N 0.273 0.727 0.124 1
N4 N 0.273 0.727 0.376 1
N5 N 0.453 0.547 0.750 1
N6 N 0.547 0.453 0.250 1
N7 N 0.727 0.273 0.624 1
N8 N 0.727 0.273 0.876 1

=====

# Tl8Hg6As (PBE, relaxed)
# SG: R-3
# DFT formation energy: 0.031 eV per atom
data_Tl8Hg6As
_cell_length_a 7.801
_cell_length_b 7.801
_cell_length_c 7.801
_cell_angle_alpha 79.23
_cell_angle_beta 79.23
_cell_angle_gamma 79.23
_space_group_name_H-M_alt 'P 1'
_space_group_IT_number 1
loop_
_space_group_symop_operation_xyz
'x,y,z'
loop_
_atom_site_label
_atom_site_type_symbol
_atom_site_fract_x
_atom_site_fract_y
_atom_site_fract_z
_atom_site_occupancy
Tl1 Tl 0.103 0.103 0.103 1
Tl2 Tl 0.201 0.202 0.576 1
Tl3 Tl 0.202 0.576 0.201 1
Tl4 Tl 0.424 0.799 0.798 1
Tl5 Tl 0.576 0.201 0.202 1
Tl6 Tl 0.798 0.424 0.799 1
Tl7 Tl 0.799 0.798 0.424 1
Tl8 Tl 0.897 0.897 0.897 1
Hg1 Hg 0.116 0.644 0.646 1
Hg2 Hg 0.354 0.884 0.356 1
Hg3 Hg 0.356 0.354 0.884 1
Hg4 Hg 0.644 0.646 0.116 1
Hg5 Hg 0.646 0.116 0.644 1
Hg6 Hg 0.884 0.356 0.354 1
As1 As 0.500 0.500 0.500 1